Material: LiTmPd
Method: DFT, PBE
State: optimized geometry

Cell: 6.4706 6.4706 6.4706 Å, 90.00 90.00 90.00°
Space group F-43m (No. 216)
Unique sites:
Li: 0.0000 0.0000 0.0000
Tm: 0.0000 0.0000 0.5000
Pd: 0.2500 0.2500 0.7500

Values from the calculation:
**Energy relative to the elements**: -1.32 eV per formula unit
**Crystal system**: cubic

=====

Material: BeCO
Method: DFT, PBE
State: optimized geometry

Cell: 4.4176 3.1050 4.1019 Å, 90.00 115.34 90.00°
Space group Cm (No. 8)
Unique sites:
Be: 0.0000 0.0000 0.0000
C: 0.2870 0.0000 0.7517
O: 0.1523 0.0000 0.4107

Values from the calculation:
**Crystal system**: monoclinic
**Raw formation energy**: -0.391 eV per atom

=====

Material: H5Pt2Rh
Method: DFT, PBE
State: optimized geometry

Cell: 3.2760 9.8286 8.4859 Å, 90.00 90.00 90.00°
Space group Cmcm (No. 63)
Unique sites:
H: 0.0000 0.0387 0.1065
H: 0.0000 0.3913 0.7500
H: 0.0000 0.3965 0.1111
Pt: 0.0000 0.1451 0.5832
Rh: 0.0000 0.1628 0.2500

Values from the calculation:
**Crystal system**: orthorhombic
**Total energy**: -4.45 eV/atom

=====

Material: Sm6YIn2
Method: DFT, PBE
State: optimized geometry

Cell: 3.4514 9.4038 17.0846 Å, 90.00 90.00 90.00°
Space group Immm (No. 71)
Unique sites:
Sm: 0.0000 0.1635 0.0000
Sm: 0.0000 0.3130 0.1702
Y: 0.0000 0.0000 0.5000
In: 0.0000 0.5000 0.3469

Values from the calculation:
**Energy relative to the elements**: -0.61 eV per formula unit
**Crystal system**: orthorhombic

=====

Material: RbOF2
Method: DFT, PBE
State: optimized geometry

Cell: 4.8506 4.8506 12.1686 Å, 90.00 90.00 90.00°
Space group I-42d (No. 122)
Unique sites:
Rb: 0.0000 0.0000 0.0000
O: 0.0000 0.0000 0.5000
F: 0.0624 0.2500 0.6250

Values from the calculation:
**Crystal system**: tetragonal
**Raw formation energy**: -0.752 eV per atom

=====

Material: LiSb2C
Method: DFT, PBE
State: optimized geometry

Cell: 6.5860 6.5860 7.6214 Å, 90.00 90.00 90.00°
Space group I-42d (No. 122)
Unique sites:
Li: 0.0000 0.0000 0.0000
Sb: 0.1791 0.7500 0.6250
C: 0.0000 0.0000 0.5000

Values from the calculation:
**Crystal system**: tetragonal
**Raw formation energy**: 0.570 eV per atom

=====

Material: GePbCl4
Method: DFT, PBE
State: optimized geometry

Cell: 5.6254 9.4031 8.1439 Å, 90.00 104.98 90.00°
Space group P2_1/m (No. 11)
Unique sites:
Ge: 0.1989 0.2500 0.4214
Pb: 0.0520 0.7500 0.1247
Cl: 0.0753 0.0687 0.2011
Cl: 0.1821 0.7500 0.5062
Cl: 0.4280 0.2500 0.8221

Values from the calculation:
**Crystal system**: monoclinic
**Raw formation energy**: -0.948 eV per atom

=====

Material: Ba5Se
Method: DFT, PBE
State: optimized geometry

Cell: 4.1902 4.1902 17.9019 Å, 90.00 90.00 90.00°
Space group P4/mmm (No. 123)
Unique sites:
Ba: 0.0000 0.0000 0.0000
Ba: 0.0000 0.0000 0.3957
Ba: 0.5000 0.5000 0.1927
Se: 0.5000 0.5000 0.5000

Values from the calculation:
**Crystal system**: tetragonal
**Raw formation energy**: -0.533 eV per atom

=====

Material: Dy5Si2Ag2
Method: DFT, PBE
State: optimized geometry

Cell: 15.7436 7.4848 7.4783 Å, 90.00 90.00 90.00°
Space group Cmce (No. 64)
Unique sites:
Dy: 0.0000 0.0000 0.0000
Dy: 0.1302 0.1798 0.3237
Si: 0.0000 0.1186 0.6199
Ag: 0.2140 0.0000 0.0000

Values from the calculation:
**Crystal system**: orthorhombic
**Raw formation energy**: -0.496 eV per atom

=====

Material: TbHoNi
Method: DFT, PBE
State: optimized geometry

Cell: 3.9275 3.9275 6.1052 Å, 90.00 90.00 120.00°
Space group P3m1 (No. 156)
Unique sites:
Tb: 0.0000 0.0000 0.0000
Ho: 0.3333 0.6667 0.4795
Ni: 0.6667 0.3333 0.2432

Values from the calculation:
**Energy relative to the elements**: -0.48 eV per formula unit
**Crystal system**: trigonal

=====

Material: Pm3Pr5In4
Method: DFT, PBE
State: optimized geometry

Cell: 11.1205 5.6764 12.6565 Å, 90.00 102.69 90.00°
Space group C2/m (No. 12)
Unique sites:
Pm: 0.0000 0.0000 0.0000
Pm: 0.1399 0.0000 0.6048
Pr: 0.0000 0.5000 0.0000
Pr: 0.0315 0.5000 0.7507
Pr: 0.2351 0.0000 0.8802
In: 0.1263 0.5000 0.4917
In: 0.1659 0.0000 0.2737

Values from the calculation:
**Energy relative to the elements**: 0.36 eV per formula unit
**Crystal system**: monoclinic

=====

What N(E_F) values result from the calculations? In sequence: 0.4055; 0.2132; 0.2285; 1.3804; 0.2662; 0.7138; 0.0000; 1.3474; 0.8661; 0.6779; 0.9331 states/eV per atom.